1.
VASP calculation (PBE-GGA) on an optimized crystal structure of LiPaZn17.

abc: 6.7831 6.7831 6.7831
angles: 82.62 82.62 82.62
Last column: nearest neighbours and their distance in Å.
Fractional positions:
Li: 0.3481 0.3481 0.3481  16 Zn 3.05-3.41
Pa: 0.6619 0.6619 0.6619  19 Zn 3.14-3.40
Zn: 0.2973 0.0040 0.6963  8 Zn 2.58-2.78
Zn: 0.6963 0.2973 0.0040  8 Zn 2.58-2.78
Zn: 0.0040 0.6963 0.2973  8 Zn 2.58-2.78
Zn: 0.2973 0.6963 0.0040  8 Zn 2.58-2.78
Zn: 0.0040 0.2973 0.6963  8 Zn 2.58-2.78
Zn: 0.6963 0.0040 0.2973  8 Zn 2.58-2.78
Zn: 0.3517 0.8447 0.3517  9 Zn 2.54-2.81
Zn: 0.3517 0.3517 0.8447  9 Zn 2.54-2.81
Zn: 0.8447 0.3517 0.3517  9 Zn 2.54-2.81
Zn: 0.6437 0.1665 0.6437  8 Zn 2.54-2.78
Zn: 0.6437 0.6437 0.1665  8 Zn 2.54-2.78
Zn: 0.1665 0.6437 0.6437  8 Zn 2.54-2.78
Zn: 0.9909 0.5054 0.9909  10 Zn 2.58-2.76
Zn: 0.9909 0.9909 0.5054  10 Zn 2.58-2.76
Zn: 0.5054 0.9909 0.9909  10 Zn 2.58-2.76
Zn: 0.9003 0.9003 0.9003  13 Zn 2.68-2.99
Zn: 0.1052 0.1052 0.1052  7 Zn 2.70-2.81

- Total energy: -34.53 eV for the cell shown
- ΔE_f: -76.9 meV per atom
- SG: R3m, No. 160
- Total magnetization: 0.7 Bohr magnetons per cell

=====

2.
VASP calculation (PBE-GGA) on an optimized crystal structure of LiLaTl2.

abc: 3.7036 3.6122 8.5654
angles: 65.10 90.00 90.00
Last column: nearest neighbours and their distance in Å.
Fractional positions:
Tl: 0.0000 0.0436 0.9572  4 Li 3.05, 1 Tl 3.22
Tl: 0.0000 0.4564 0.5428  4 Li 3.05, 1 Tl 3.22
Li: 0.5000 0.7500 0.7500  8 Tl 3.05
La: 0.5000 0.2500 0.2500  8 Tl 3.44-3.45, 4 La 3.61-3.70

- Total energy: -12.90 eV for the cell shown
- ΔE_f: -332.4 meV per atom
- SG: Pmmm, No. 47
- Total magnetization: 0.0 Bohr magnetons per cell

=====

3.
VASP calculation (PBE-GGA) on an optimized crystal structure of Ac3La6Sm2.

abc: 3.8016 3.8016 33.9877
angles: 86.79 86.79 60.00
Last column: nearest neighbours and their distance in Å.
Fractional positions:
Ac: 0.0000 0.0000 0.0000  6 Ac 3.80, 6 La 3.86
Ac: 0.7291 0.7291 0.8126  6 Ac 3.80, 6 La 3.86
Ac: 0.2709 0.2709 0.1874  6 Ac 3.80, 6 La 3.86
La: 0.9063 0.9063 0.2811  3 Sm 3.68, 6 La 3.80, 3 Ac 3.86
La: 0.0937 0.0937 0.7189  3 Sm 3.68, 6 La 3.80, 3 Ac 3.86
La: 0.8185 0.8185 0.5445  3 Sm 3.69, 9 La 3.73-3.80
La: 0.1815 0.1815 0.4555  3 Sm 3.69, 9 La 3.73-3.80
La: 0.6355 0.6355 0.0936  6 La 3.80, 6 Ac 3.86
La: 0.3645 0.3645 0.9064  6 La 3.80, 6 Ac 3.86
Sm: 0.5439 0.5439 0.3682  6 La 3.68-3.69, 6 Sm 3.80
Sm: 0.4561 0.4561 0.6318  6 La 3.68-3.69, 6 Sm 3.80

- Total energy: -51.00 eV for the cell shown
- ΔE_f: 29.5 meV per atom
- SG: R-3m, No. 166
- Total magnetization: 0.0 Bohr magnetons per cell

=====

4.
VASP calculation (PBE-GGA) on an optimized crystal structure of LaAsPd4.

abc: 4.1832 7.1811 7.4898
angles: 90.00 90.00 90.00
Last column: nearest neighbours and their distance in Å.
Fractional positions:
La: 0.0000 0.6430 0.7500  1 As 2.99, 8 Pd 3.00-3.17
La: 0.0000 0.3570 0.2500  1 As 2.99, 8 Pd 3.00-3.17
As: 0.0000 0.2264 0.7500  6 Pd 2.48-2.61
As: 0.0000 0.7736 0.2500  6 Pd 2.48-2.61
Pd: 0.0000 0.0000 0.5000  2 As 2.48
Pd: 0.0000 0.0000 0.0000  2 As 2.48
Pd: 0.5000 0.9416 0.7500  8 Pd 2.84-2.96, 2 As 2.93, 2 La 3.00
Pd: 0.5000 0.0584 0.2500  8 Pd 2.84-2.96, 2 As 2.93, 2 La 3.00
Pd: 0.5000 0.7000 0.0545  2 As 2.61, 1 Pd 2.87
Pd: 0.5000 0.3000 0.9455  2 As 2.61, 1 Pd 2.87
Pd: 0.5000 0.7000 0.4455  2 As 2.61, 1 Pd 2.87
Pd: 0.5000 0.3000 0.5545  2 As 2.61, 1 Pd 2.87

- ΔE to the lowest computed polymorph: 0 meV per atom
- Total energy: -68.38 eV for the cell shown
- ΔE_f: -640.0 meV per atom
- SG: Pmma, No. 51
- Total magnetization: 0.0 Bohr magnetons per cell

=====

| no. | V (Å³ per atom) |
| --- | --- |
| 1 | 16.05 |
| 2 | 25.98 |
| 3 | 38.59 |
| 4 | 18.75 |